# 1
# CuMoP2

A relaxed structure of CuMoP2 (PBE-GGA, Alexandria).

```
CuMoP2
1.0
3.335 0.000 0.000
0.000 3.335 0.000
0.000 0.000 4.951
Cu Mo P
1 1 2
Direct
0.000 0.000 0.000
0.500 0.500 0.347
0.000 0.000 0.519
0.500 0.500 0.861
```

E: -6.546 eV/atom

# 2
# Cu2MoP

A relaxed structure of Cu2MoP (PBE-GGA, Alexandria).

```
Cu2MoP
1.0
3.549 0.000 0.000
0.000 3.549 0.000
0.000 0.000 4.148
Cu Mo P
2 1 1
Direct
0.000 0.500 0.000
0.500 0.000 0.000
0.000 0.000 0.500
0.500 0.500 0.500
```

E: -6.025 eV/atom

# 3
# CuMoP2

A relaxed structure of CuMoP2 (PBE-GGA, Alexandria).

```
CuMoP2
1.0
-1.711 2.197 3.570
1.711 -2.197 3.570
1.711 2.197 -3.570
Cu Mo P
1 1 2
Direct
0.000 0.000 0.000
0.500 0.500 0.000
0.224 0.724 0.500
0.776 0.276 0.500
```

E: -6.393 eV/atom